No. 1
VASP calculation (PBE-GGA) on a relaxed structure of Mo2PtW.

The space-group type is P4/mmm (123). Its spin magnetization is 0.000 μB per formula unit. The calculation puts the density at 14.84 g/cm³. For the formation energy, the calculation gives 0.2 eV/f.u.

abc: 3.2937 3.2937 5.8878
angles: 90.00 90.00 90.00
With the nearest neighbours (Å) after each atom.
Positions (direct):
Mo: 0.0000 0.0000 0.2432  4 W 2.73, 4 Pt 2.78, 2 Mo 2.86-3.02
Mo: 0.0000 0.0000 0.7568  4 W 2.73, 4 Pt 2.78, 2 Mo 2.86-3.02
Pt: 0.5000 0.5000 0.5000  8 Mo 2.78, 2 W 2.94
W: 0.5000 0.5000 0.0000  8 Mo 2.73, 2 Pt 2.94


No. 2
VASP calculation (PBE-GGA) on a relaxed structure of MoPtW2.

Its polymorph energy (0 for the lowest one) is 1.2 kJ/mol of atoms. The space-group type is Cmm2 (35). Its spin magnetization is 0.000 μB per formula unit. The calculation puts the density at 17.19 g/cm³. For the formation energy, the calculation gives -0.2 eV/f.u.

abc: 2.7282 2.7282 8.8250
angles: 90.00 90.00 104.36
With the nearest neighbours (Å) after each atom.
Positions (direct):
Mo: 0.0000 0.0000 0.0000  4 Mo 2.73, 2 Pt 2.76, 2 W 2.79
Pt: 0.5000 0.5000 0.7519  4 Pt 2.73, 4 W 2.74-3.06, 2 Mo 2.76
W: 0.0000 0.0000 0.5065  6 W 2.73-2.80, 4 Pt 2.74-3.06
W: 0.5000 0.5000 0.2527  6 W 2.73-2.80, 2 Mo 2.79


No. 3
VASP calculation (PBE-GGA) on a relaxed structure of Mo4PtW.

The space-group type is F-43m (216). Its spin magnetization is 0.000 μB per formula unit. The calculation puts the density at 12.99 g/cm³. For the formation energy, the calculation gives 1.4 eV/f.u.

abc: 5.1658 5.1658 5.1658
angles: 60.00 60.00 60.00
With the nearest neighbours (Å) after each atom.
Positions (direct):
Mo: 0.1244 0.1244 0.1244  6 Mo 2.57-2.60
Mo: 0.1244 0.1244 0.6269  6 Mo 2.57-2.60
Mo: 0.1244 0.6269 0.1244  6 Mo 2.57-2.60
Mo: 0.6269 0.1244 0.1244  6 Mo 2.57-2.60
Pt: 0.5000 0.5000 0.5000  12 Mo 3.03, 4 W 3.16
W: 0.7500 0.7500 0.7500  12 Mo 3.03, 4 Pt 3.16